## P
Material: Nd12Tm7Sc
Method: DFT, PBE
State: optimized geometry

Properties
- DOS at the Fermi energy: 88.771 states/eV per cell

```
data_Nd12Tm7Sc
_chemical_formula_sum 'Nd36 Tm21 Sc3'
_cell_length_a 19.5609
_cell_length_b 19.5609
_cell_length_c 6.1794
_cell_angle_alpha 90.00
_cell_angle_beta 90.00
_cell_angle_gamma 120.00
_symmetry_space_group_name_H-M 'R -3 m'
_symmetry_Int_Tables_number 166
_symmetry_space_group_name_Hall '-R 3 2"'
loop_
_atom_site_label
_atom_site_type_symbol
_atom_site_fract_x
_atom_site_fract_y
_atom_site_fract_z
Nd1 Nd 0.0000 0.4130 0.0000
Nd2 Nd 0.0993 0.5496 0.4697
Tm1 Tm 0.0000 0.0000 0.0000
Tm2 Tm 0.0798 0.1595 0.3016
Sc1 Sc 0.0000 0.0000 0.5000
```

## Q
Material: Nd12Tm7Sc
Method: DFT, PBE
State: optimized geometry

Properties
- DOS at the Fermi energy: 107.128 states/eV per cell

```
data_Nd12Tm7Sc
_chemical_formula_sum 'Nd36 Tm21 Sc3'
_cell_length_a 15.1377
_cell_length_b 15.1377
_cell_length_c 10.0832
_cell_angle_alpha 90.00
_cell_angle_beta 90.00
_cell_angle_gamma 120.00
_symmetry_space_group_name_H-M 'R -3'
_symmetry_Int_Tables_number 148
_symmetry_space_group_name_Hall '-R 3'
loop_
_atom_site_label
_atom_site_type_symbol
_atom_site_fract_x
_atom_site_fract_y
_atom_site_fract_z
Nd1 Nd 0.0429 0.1949 0.2524
Nd2 Nd 0.0437 0.2516 0.5747
Tm1 Tm 0.0000 0.0000 0.5000
Tm2 Tm 0.0675 0.2411 0.9270
Sc1 Sc 0.0000 0.0000 0.0000
```

Stability verdict: Q, ahead by 48 meV per atom

## P
Material: NdTmSc2
Method: DFT, PBE
State: optimized geometry

Properties
- DOS at the Fermi energy: 20.491 states/eV per cell

```
data_NdTmSc2
_chemical_formula_sum 'Nd4 Tm4 Sc8'
_cell_length_a 7.6830
_cell_length_b 7.6830
_cell_length_c 7.6830
_cell_angle_alpha 90.00
_cell_angle_beta 90.00
_cell_angle_gamma 90.00
_symmetry_space_group_name_H-M 'F m -3 m'
_symmetry_Int_Tables_number 225
_symmetry_space_group_name_Hall '-F 4 2 3'
loop_
_atom_site_label
_atom_site_type_symbol
_atom_site_fract_x
_atom_site_fract_y
_atom_site_fract_z
Nd1 Nd 0.0000 0.0000 0.0000
Tm1 Tm 0.0000 0.0000 0.5000
Sc1 Sc 0.2500 0.2500 0.2500
```

## Q
Material: NdTmSc2
Method: DFT, PBE
State: optimized geometry

Properties
- DOS at the Fermi energy: 5.919 states/eV per cell

```
data_NdTmSc2
_chemical_formula_sum 'Nd1 Tm1 Sc2'
_cell_length_a 3.4950
_cell_length_b 4.6244
_cell_length_c 6.9994
_cell_angle_alpha 90.00
_cell_angle_beta 90.09
_cell_angle_gamma 90.00
_symmetry_space_group_name_H-M 'P 1 2/m 1'
_symmetry_Int_Tables_number 10
_symmetry_space_group_name_Hall '-P 2y'
loop_
_atom_site_label
_atom_site_type_symbol
_atom_site_fract_x
_atom_site_fract_y
_atom_site_fract_z
Nd1 Nd 0.0000 0.0000 0.0000
Tm1 Tm 0.0000 0.0000 0.5000
Sc1 Sc 0.4995 0.5000 0.7432
```

Stability verdict: Q, ahead by 28 meV per atom

## P
Material: NdTmSc2
Method: DFT, PBE
State: optimized geometry

Properties
- DOS at the Fermi energy: 7.124 states/eV per cell

```
data_NdTmSc2
_chemical_formula_sum 'Nd1 Tm1 Sc2'
_cell_length_a 4.9195
_cell_length_b 4.9195
_cell_length_c 4.6808
_cell_angle_alpha 90.00
_cell_angle_beta 90.00
_cell_angle_gamma 90.00
_symmetry_space_group_name_H-M 'P 4/m m m'
_symmetry_Int_Tables_number 123
_symmetry_space_group_name_Hall '-P 4 2'
loop_
_atom_site_label
_atom_site_type_symbol
_atom_site_fract_x
_atom_site_fract_y
_atom_site_fract_z
Nd1 Nd 0.0000 0.0000 0.0000
Tm1 Tm 0.5000 0.5000 0.0000
Sc1 Sc 0.0000 0.5000 0.5000
```

## Q
Material: NdTmSc2
Method: DFT, PBE
State: optimized geometry

Properties
- DOS at the Fermi energy: 19.173 states/eV per cell

```
data_NdTmSc2
_chemical_formula_sum 'Nd3 Tm3 Sc6'
_cell_length_a 3.4523
_cell_length_b 3.4523
_cell_length_c 33.0241
_cell_angle_alpha 90.00
_cell_angle_beta 90.00
_cell_angle_gamma 120.00
_symmetry_space_group_name_H-M 'R 3 m'
_symmetry_Int_Tables_number 160
_symmetry_space_group_name_Hall 'R 3 -2"'
loop_
_atom_site_label
_atom_site_type_symbol
_atom_site_fract_x
_atom_site_fract_y
_atom_site_fract_z
Nd1 Nd 0.0000 0.0000 0.0000
Tm1 Tm 0.0000 0.0000 0.1656
Sc1 Sc 0.0000 0.0000 0.5805
Sc2 Sc 0.0000 0.0000 0.7513
```

Stability verdict: P, ahead by 17 meV per atom

## P
Material: Nd2TmSc
Method: DFT, PBE
State: optimized geometry

Properties
- DOS at the Fermi energy: 13.178 states/eV per cell

```
data_Nd2TmSc
_chemical_formula_sum 'Nd6 Tm3 Sc3'
_cell_length_a 3.5461
_cell_length_b 3.5461
_cell_length_c 33.9579
_cell_angle_alpha 90.00
_cell_angle_beta 90.00
_cell_angle_gamma 120.00
_symmetry_space_group_name_H-M 'R -3 m'
_symmetry_Int_Tables_number 166
_symmetry_space_group_name_Hall '-R 3 2"'
loop_
_atom_site_label
_atom_site_type_symbol
_atom_site_fract_x
_atom_site_fract_y
_atom_site_fract_z
Nd1 Nd 0.0000 0.0000 0.2474
Tm1 Tm 0.0000 0.0000 0.0000
Sc1 Sc 0.0000 0.0000 0.5000
```

## Q
Material: Nd2TmSc
Method: DFT, PBE
State: optimized geometry

Properties
- DOS at the Fermi energy: 27.423 states/eV per cell

```
data_Nd2TmSc
_chemical_formula_sum 'Nd8 Tm4 Sc4'
_cell_length_a 12.3526
_cell_length_b 5.6383
_cell_length_c 7.2281
_cell_angle_alpha 90.00
_cell_angle_beta 90.00
_cell_angle_gamma 90.00
_symmetry_space_group_name_H-M 'P n m a'
_symmetry_Int_Tables_number 62
_symmetry_space_group_name_Hall '-P 2ac 2n'
loop_
_atom_site_label
_atom_site_type_symbol
_atom_site_fract_x
_atom_site_fract_y
_atom_site_fract_z
Nd1 Nd 0.0870 0.2500 0.0012
Nd2 Nd 0.0870 0.2500 0.4979
Tm1 Tm 0.1707 0.7500 0.7496
Sc1 Sc 0.1675 0.7500 0.2496
```

## R
Material: Nd2TmSc
Method: DFT, PBE
State: optimized geometry

Properties
- DOS at the Fermi energy: 24.575 states/eV per cell

```
data_Nd2TmSc
_chemical_formula_sum 'Nd8 Tm4 Sc4'
_cell_length_a 7.9350
_cell_length_b 7.9350
_cell_length_c 7.9350
_cell_angle_alpha 90.00
_cell_angle_beta 90.00
_cell_angle_gamma 90.00
_symmetry_space_group_name_H-M 'F m -3 m'
_symmetry_Int_Tables_number 225
_symmetry_space_group_name_Hall '-F 4 2 3'
loop_
_atom_site_label
_atom_site_type_symbol
_atom_site_fract_x
_atom_site_fract_y
_atom_site_fract_z
Nd1 Nd 0.2500 0.2500 0.2500
Tm1 Tm 0.0000 0.0000 0.0000
Sc1 Sc 0.0000 0.0000 0.5000
```

## S
Material: Nd2TmSc
Method: DFT, PBE
State: optimized geometry

Properties
- DOS at the Fermi energy: 19.045 states/eV per cell

```
data_Nd2TmSc
_chemical_formula_sum 'Nd6 Tm3 Sc3'
_cell_length_a 3.5503
_cell_length_b 3.5503
_cell_length_c 34.1818
_cell_angle_alpha 90.00
_cell_angle_beta 90.00
_cell_angle_gamma 120.00
_symmetry_space_group_name_H-M 'R 3 m'
_symmetry_Int_Tables_number 160
_symmetry_space_group_name_Hall 'R 3 -2"'
loop_
_atom_site_label
_atom_site_type_symbol
_atom_site_fract_x
_atom_site_fract_y
_atom_site_fract_z
Nd1 Nd 0.0000 0.0000 0.0000
Nd2 Nd 0.0000 0.0000 0.1613
Tm1 Tm 0.0000 0.0000 0.5815
Sc1 Sc 0.0000 0.0000 0.4138
```

Stability verdict: Q, ahead by 7 meV per atom

## P
Material: Nd2Tm8Sc
Method: DFT, PBE
State: optimized geometry

Properties
- DOS at the Fermi energy: 15.398 states/eV per cell

```
data_Nd2Tm8Sc
_chemical_formula_sum 'Nd2 Tm8 Sc1'
_cell_length_a 6.0687
_cell_length_b 7.8137
_cell_length_c 7.8459
_cell_angle_alpha 107.52
_cell_angle_beta 97.69
_cell_angle_gamma 104.78
_symmetry_space_group_name_H-M 'P -1'
_symmetry_Int_Tables_number 2
_symmetry_space_group_name_Hall '-P 1'
loop_
_atom_site_label
_atom_site_type_symbol
_atom_site_fract_x
_atom_site_fract_y
_atom_site_fract_z
Nd1 Nd 0.2282 0.4085 0.0506
Tm1 Tm 0.0457 0.6820 0.4124
Tm2 Tm 0.1384 0.0477 0.2307
Tm3 Tm 0.3202 0.7736 0.8607
Tm4 Tm 0.4087 0.1365 0.6784
Sc1 Sc 0.5000 0.5000 0.5000
```

## Q
Material: Nd2Tm8Sc
Method: DFT, PBE
State: optimized geometry

Properties
- DOS at the Fermi energy: 34.940 states/eV per cell

```
data_Nd2Tm8Sc
_chemical_formula_sum 'Nd4 Tm16 Sc2'
_cell_length_a 18.4053
_cell_length_b 6.8559
_cell_length_c 5.5779
_cell_angle_alpha 90.00
_cell_angle_beta 92.13
_cell_angle_gamma 90.00
_symmetry_space_group_name_H-M 'C 1 2/m 1'
_symmetry_Int_Tables_number 12
_symmetry_space_group_name_Hall '-C 2y'
loop_
_atom_site_label
_atom_site_type_symbol
_atom_site_fract_x
_atom_site_fract_y
_atom_site_fract_z
Nd1 Nd 0.2178 0.0000 0.2525
Tm1 Tm 0.0466 0.0000 0.2338
Tm2 Tm 0.1258 0.2358 0.7376
Tm3 Tm 0.1794 0.5000 0.2349
Sc1 Sc 0.0000 0.5000 0.0000
```

Stability verdict: P, ahead by 159 meV per atom

## P
Material: Nd8TmSc2
Method: DFT, PBE
State: optimized geometry

Properties
- DOS at the Fermi energy: 37.210 states/eV per cell

```
data_Nd8TmSc2
_chemical_formula_sum 'Nd16 Tm2 Sc4'
_cell_length_a 5.5245
_cell_length_b 8.4724
_cell_length_c 15.6591
_cell_angle_alpha 90.00
_cell_angle_beta 90.00
_cell_angle_gamma 90.00
_symmetry_space_group_name_H-M 'I m m m'
_symmetry_Int_Tables_number 71
_symmetry_space_group_name_Hall '-I 2 2'
loop_
_atom_site_label
_atom_site_type_symbol
_atom_site_fract_x
_atom_site_fract_y
_atom_site_fract_z
Nd1 Nd 0.0000 0.0000 0.1591
Nd2 Nd 0.0000 0.2025 0.3562
Nd3 Nd 0.0000 0.3019 0.0000
Tm1 Tm 0.0000 0.5000 0.5000
Sc1 Sc 0.0000 0.5000 0.2017
```

## Q
Material: Nd8TmSc2
Method: DFT, PBE
State: optimized geometry

Properties
- DOS at the Fermi energy: 28.871 states/eV per cell

```
data_Nd8TmSc2
_chemical_formula_sum 'Nd16 Tm2 Sc4'
_cell_length_a 9.0390
_cell_length_b 16.1671
_cell_length_c 5.8863
_cell_angle_alpha 90.00
_cell_angle_beta 121.73
_cell_angle_gamma 90.00
_symmetry_space_group_name_H-M 'C 1 2/m 1'
_symmetry_Int_Tables_number 12
_symmetry_space_group_name_Hall '-C 2y'
loop_
_atom_site_label
_atom_site_type_symbol
_atom_site_fract_x
_atom_site_fract_y
_atom_site_fract_z
Nd1 Nd 0.0000 0.2085 0.0000
Nd2 Nd 0.0812 0.5000 0.7948
Nd3 Nd 0.2153 0.1192 0.6709
Tm1 Tm 0.0000 0.0000 0.0000
Sc1 Sc 0.0000 0.3101 0.5000
```

Stability verdict: P, ahead by 33 meV per atom

## P
Material: Nd2Tm7Sc2
Method: DFT, PBE
State: optimized geometry

Properties
- DOS at the Fermi energy: 35.779 states/eV per cell

```
data_Nd2Tm7Sc2
_chemical_formula_sum 'Nd4 Tm14 Sc4'
_cell_length_a 3.5177
_cell_length_b 17.0256
_cell_length_c 11.4456
_cell_angle_alpha 90.00
_cell_angle_beta 90.00
_cell_angle_gamma 90.00
_symmetry_space_group_name_H-M 'I m m 2'
_symmetry_Int_Tables_number 44
_symmetry_space_group_name_Hall 'I 2 -2'
loop_
_atom_site_label
_atom_site_type_symbol
_atom_site_fract_x
_atom_site_fract_y
_atom_site_fract_z
Nd1 Nd 0.0000 0.2087 0.0000
Tm1 Tm 0.0000 0.0000 0.0924
Tm2 Tm 0.0000 0.1102 0.5132
Tm3 Tm 0.0000 0.3340 0.7540
Tm4 Tm 0.0000 0.3362 0.2504
Sc1 Sc 0.0000 0.0000 0.7824
Sc2 Sc 0.0000 0.5000 0.8390
```

## Q
Material: Nd2Tm7Sc2
Method: DFT, PBE
State: optimized geometry

Properties
- DOS at the Fermi energy: 15.028 states/eV per cell

```
data_Nd2Tm7Sc2
_chemical_formula_sum 'Nd2 Tm7 Sc2'
_cell_length_a 3.5244
_cell_length_b 8.8842
_cell_length_c 11.1889
_cell_angle_alpha 95.79
_cell_angle_beta 90.03
_cell_angle_gamma 101.40
_symmetry_space_group_name_H-M 'P -1'
_symmetry_Int_Tables_number 2
_symmetry_space_group_name_Hall '-P 1'
loop_
_atom_site_label
_atom_site_type_symbol
_atom_site_fract_x
_atom_site_fract_y
_atom_site_fract_z
Nd1 Nd 0.2074 0.4160 0.2403
Tm1 Tm 0.0000 0.0000 0.5000
Tm2 Tm 0.3338 0.6683 0.5077
Tm3 Tm 0.3408 0.6823 0.0199
Tm4 Tm 0.4767 0.9498 0.7823
Sc1 Sc 0.1281 0.2546 0.7270
```

Stability verdict: Q, ahead by 50 meV per atom

## P
Material: Nd3TmSc2
Method: DFT, PBE
State: optimized geometry

Properties
- DOS at the Fermi energy: 42.415 states/eV per cell

```
data_Nd3TmSc2
_chemical_formula_sum 'Nd12 Tm4 Sc8'
_cell_length_a 14.5621
_cell_length_b 9.7157
_cell_length_c 5.5337
_cell_angle_alpha 90.00
_cell_angle_beta 90.00
_cell_angle_gamma 90.00
_symmetry_space_group_name_H-M 'C m c m'
_symmetry_Int_Tables_number 63
_symmetry_space_group_name_Hall '-C 2c 2'
loop_
_atom_site_label
_atom_site_type_symbol
_atom_site_fract_x
_atom_site_fract_y
_atom_site_fract_z
Nd1 Nd 0.0000 0.0902 0.2500
Nd2 Nd 0.2468 0.1349 0.2500
Tm1 Tm 0.0000 0.2813 0.7500
Sc1 Sc 0.1026 0.4057 0.2500
```

## Q
Material: Nd3TmSc2
Method: DFT, PBE
State: optimized geometry

Properties
- DOS at the Fermi energy: 39.849 states/eV per cell

```
data_Nd3TmSc2
_chemical_formula_sum 'Nd12 Tm4 Sc8'
_cell_length_a 17.1936
_cell_length_b 7.0434
_cell_length_c 6.0609
_cell_angle_alpha 90.00
_cell_angle_beta 90.59
_cell_angle_gamma 90.00
_symmetry_space_group_name_H-M 'C 1 2/c 1'
_symmetry_Int_Tables_number 15
_symmetry_space_group_name_Hall '-C 2yc'
loop_
_atom_site_label
_atom_site_type_symbol
_atom_site_fract_x
_atom_site_fract_y
_atom_site_fract_z
Nd1 Nd 0.0000 0.1231 0.2500
Nd2 Nd 0.1688 0.3741 0.4142
Tm1 Tm 0.0000 0.3731 0.7500
Sc1 Sc 0.1673 0.1239 0.9194
```

Stability verdict: Q, ahead by 207 meV per atom

## P
Material: NdTm5Sc2
Method: DFT, PBE
State: optimized geometry

Properties
- DOS at the Fermi energy: 48.322 states/eV per cell

```
data_NdTm5Sc2
_chemical_formula_sum 'Nd4 Tm20 Sc8'
_cell_length_a 11.1577
_cell_length_b 12.0192
_cell_length_c 6.9655
_cell_angle_alpha 90.00
_cell_angle_beta 90.00
_cell_angle_gamma 90.00
_symmetry_space_group_name_H-M 'P b a m'
_symmetry_Int_Tables_number 55
_symmetry_space_group_name_Hall '-P 2 2ab'
loop_
_atom_site_label
_atom_site_type_symbol
_atom_site_fract_x
_atom_site_fract_y
_atom_site_fract_z
Nd1 Nd 0.2471 0.0798 0.0000
Tm1 Tm 0.0005 0.2467 0.5000
Tm2 Tm 0.0002 0.2477 0.0000
Tm3 Tm 0.0000 0.5000 0.2548
Tm4 Tm 0.2490 0.8330 0.2549
Sc1 Sc 0.0000 0.0000 0.2570
Sc2 Sc 0.2468 0.0833 0.5000
```

## Q
Material: NdTm5Sc2
Method: DFT, PBE
State: optimized geometry

Properties
- DOS at the Fermi energy: 26.674 states/eV per cell

```
data_NdTm5Sc2
_chemical_formula_sum 'Nd2 Tm10 Sc4'
_cell_length_a 6.8788
_cell_length_b 6.8788
_cell_length_c 9.8338
_cell_angle_alpha 90.00
_cell_angle_beta 90.00
_cell_angle_gamma 90.00
_symmetry_space_group_name_H-M 'I 4 m m'
_symmetry_Int_Tables_number 107
_symmetry_space_group_name_Hall 'I 4 -2'
loop_
_atom_site_label
_atom_site_type_symbol
_atom_site_fract_x
_atom_site_fract_y
_atom_site_fract_z
Nd1 Nd 0.0000 0.0000 0.0000
Tm1 Tm 0.0000 0.0000 0.5006
Tm2 Tm 0.2499 0.2499 0.2504
Sc1 Sc 0.0000 0.5000 0.0003
```

Stability verdict: P, ahead by 15 meV per atom

## P
Material: Nd5TmSc4
Method: DFT, PBE
State: optimized geometry

Properties
- DOS at the Fermi energy: 31.442 states/eV per cell

```
data_Nd5TmSc4
_chemical_formula_sum 'Nd10 Tm2 Sc8'
_cell_length_a 9.9740
_cell_length_b 9.9740
_cell_length_c 6.2011
_cell_angle_alpha 90.00
_cell_angle_beta 90.00
_cell_angle_gamma 90.00
_symmetry_space_group_name_H-M 'I 4'
_symmetry_Int_Tables_number 79
_symmetry_space_group_name_Hall 'I 4'
loop_
_atom_site_label
_atom_site_type_symbol
_atom_site_fract_x
_atom_site_fract_y
_atom_site_fract_z
Nd1 Nd 0.0000 0.0000 0.0000
Nd2 Nd 0.1494 0.2496 0.7303
Tm1 Tm 0.0000 0.0000 0.4633
Sc1 Sc 0.0574 0.3599 0.2333
```

## Q
Material: Nd5TmSc4
Method: DFT, PBE
State: optimized geometry

Properties
- DOS at the Fermi energy: 15.364 states/eV per cell

```
data_Nd5TmSc4
_chemical_formula_sum 'Nd5 Tm1 Sc4'
_cell_length_a 3.5947
_cell_length_b 3.5947
_cell_length_c 23.2808
_cell_angle_alpha 90.00
_cell_angle_beta 90.00
_cell_angle_gamma 90.00
_symmetry_space_group_name_H-M 'P 4/m m m'
_symmetry_Int_Tables_number 123
_symmetry_space_group_name_Hall '-P 4 2'
loop_
_atom_site_label
_atom_site_type_symbol
_atom_site_fract_x
_atom_site_fract_y
_atom_site_fract_z
Nd1 Nd 0.0000 0.0000 0.0000
Nd2 Nd 0.0000 0.0000 0.1962
Nd3 Nd 0.0000 0.0000 0.3931
Tm1 Tm 0.5000 0.5000 0.5000
Sc1 Sc 0.5000 0.5000 0.0982
Sc2 Sc 0.5000 0.5000 0.2946
```

Stability verdict: Q, ahead by 283 meV per atom